# Be17NbAu

A geometry-optimized Be17NbAu structure (PBE, Alexandria via LeMat-Bulk).

```
Be17NbAu
1.0
5.550 0.023 0.681
0.605 5.517 0.681
0.026 0.023 5.591
Be Nb Au
17 1 1
Direct
0.657 0.161 0.657
0.346 0.846 0.346
0.984 0.507 0.984
0.002 0.295 0.700
0.700 0.295 0.002
0.002 0.700 0.295
0.161 0.657 0.657
0.984 0.984 0.507
0.099 0.099 0.099
0.346 0.346 0.846
0.295 0.002 0.700
0.846 0.346 0.346
0.657 0.657 0.161
0.700 0.002 0.295
0.507 0.984 0.984
0.899 0.899 0.899
0.295 0.700 0.002
0.660 0.660 0.660
0.364 0.364 0.364
```

V	9.0	Å³/atom
space group	No. 160
total magnetization	0.000	μB/f.u.
calculated formation energy	-0.109	eV/atom


# BeNbAu

A geometry-optimized BeNbAu structure (PBE, Alexandria via LeMat-Bulk).

```
BeNbAu
1.0
-0.851 5.067 2.069
0.043 -1.490 3.668
8.107 1.201 0.394
Nb Au Be
4 4 4
Direct
0.342 0.750 0.939
0.658 0.250 0.061
0.158 0.250 0.439
0.842 0.750 0.561
0.983 0.750 0.201
0.517 0.250 0.701
0.017 0.250 0.799
0.483 0.750 0.299
0.326 0.750 0.602
0.826 0.750 0.898
0.174 0.250 0.102
0.674 0.250 0.398
```

V	15.0	Å³/atom
space group	No. 62
total magnetization	0.000	μB/f.u.
calculated formation energy	-0.043	eV/atom
ΔE to the lowest computed polymorph	215	meV/atom


# BeNbAu

A geometry-optimized BeNbAu structure (PBE, Alexandria via LeMat-Bulk).

```
BeNbAu
1.0
-4.482 2.709 -3.411
-1.742 -3.015 -0.105
-0.866 0.346 4.429
Be Au Nb
2 2 2
Direct
0.050 0.806 0.530
0.650 0.806 0.832
0.981 0.306 0.999
0.338 0.306 0.676
0.713 0.306 0.364
0.366 0.806 0.190
```

V	15.3	Å³/atom
space group	No. 6
total magnetization	0.000	μB/f.u.
calculated formation energy	-0.031	eV/atom
ΔE to the lowest computed polymorph	227	meV/atom


# BeNbAu

A geometry-optimized BeNbAu structure (PBE, Alexandria via LeMat-Bulk).

```
BeNbAu
1.0
-1.248 -5.776 -0.325
0.882 -0.018 -3.063
8.960 -2.082 2.591
Au Nb Be
4 4 4
Direct
0.392 0.250 0.118
0.608 0.750 0.882
0.892 0.250 0.382
0.108 0.750 0.618
0.132 0.750 0.922
0.868 0.250 0.078
0.632 0.750 0.578
0.368 0.250 0.422
0.136 0.750 0.233
0.364 0.250 0.733
0.864 0.250 0.767
0.636 0.750 0.267
```

V	15.0	Å³/atom
space group	No. 62
total magnetization	0.000	μB/f.u.
calculated formation energy	-0.080	eV/atom
ΔE to the lowest computed polymorph	178	meV/atom


Q: Number 1 is which compound?
A: Be17NbAu